Entry from Alexandria via LeMat-Bulk: SrLiAlS3 after structural relaxation (PBE-GGA).

Cell: 6.958 6.958 6.480 Å, 90.00 90.00 124.31°
Atoms (fractional coordinates):
Sr: 0.197 0.803 0.750
Sr: 0.803 0.197 0.250
Li: 0.078 0.922 0.250
Li: 0.922 0.078 0.750
Al: 0.454 0.546 0.250
Al: 0.546 0.454 0.750
S: 0.253 0.253 0.000
S: 0.253 0.253 0.500
S: 0.268 0.732 0.250
S: 0.732 0.268 0.750
S: 0.747 0.747 0.000
S: 0.747 0.747 0.500

Properties
The magnetization is 0.0 μB/cell. Its raw total energy is -4.671 eV per atom.